(1)
# LiNbRh

A geometry-optimized LiNbRh structure (PBE, Alexandria).

Cell lengths 5.9373, 4.4624, 6.0638 Å; angles 70.99, 60.69, 48.30 degrees
With the nearest neighbours (Å) after each atom.
Fractional coordinates of all 6 atoms:
Li: 0.1682 0.6637 0.0000  1 Li 2.24
Li: 0.8318 0.3363 0.0000  1 Li 2.24
Nb: 0.7500 0.5000 0.5000  4 Rh 2.59
Nb: 0.2500 0.5000 0.5000  4 Rh 2.59
Rh: 0.6254 0.0000 0.7493  2 Li 2.58, 4 Nb 2.59, 1 Rh 2.65
Rh: 0.3746 0.0000 0.2507  2 Li 2.58, 4 Nb 2.59, 1 Rh 2.65

## Properties
magnetic moment = 0.00 Bohr magnetons per cell
calculated formation energy = -1.624 kcal/mol of atoms
space-group type = No. 69
DFT total energy = -39.09 eV per cell

(2)
# Ca2TaCu

A geometry-optimized Ca2TaCu structure (PBE, Alexandria).

Cell lengths 3.5241, 5.0168, 5.0336 Å; angles 90.00, 90.00, 90.00 degrees
With the nearest neighbours (Å) after each atom.
Fractional coordinates of all 4 atoms:
Ca: 0.5000 0.5000 0.0000  4 Ca 3.07, 4 Ta 3.07
Ca: 0.0000 0.0000 0.0000  4 Ca 3.07, 4 Cu 3.07
Cu: 0.5000 0.0000 0.5000  4 Ta 3.07, 4 Ca 3.07
Ta: 0.0000 0.5000 0.5000  4 Cu 3.07, 4 Ca 3.07

## Properties
magnetic moment = 0.00 Bohr magnetons per cell
excess energy over the best structure of this formula in the dataset = 1.77 eV/f.u.
calculated formation energy = 17.908 kcal/mol of atoms
space-group type = No. 47
DFT total energy = -16.85 eV per cell

(3)
# HfTl2Cd

A geometry-optimized HfTl2Cd structure (PBE, Alexandria).

Cell lengths 5.1711, 5.1711, 5.1711 Å; angles 60.00, 60.00, 60.00 degrees
With the nearest neighbours (Å) after each atom.
Fractional coordinates of all 4 atoms:
Hf: 0.5000 0.5000 0.5000  8 Tl 3.17
Tl: 0.7500 0.7500 0.7500  4 Cd 3.17, 4 Hf 3.17
Tl: 0.2500 0.2500 0.2500  4 Hf 3.17, 4 Cd 3.17
Cd: 0.0000 0.0000 0.0000  8 Tl 3.17

## Properties
magnetic moment = 0.00 Bohr magnetons per cell
excess energy over the best structure of this formula in the dataset = 0.90 eV/f.u.
calculated formation energy = 8.565 kcal/mol of atoms
space-group type = No. 225
DFT total energy = -14.12 eV per cell

(4)
# Li2Tb3Bi3

A geometry-optimized Li2Tb3Bi3 structure (PBE, Alexandria).

Cell lengths 4.5166, 6.4120, 15.3446 Å; angles 90.00, 90.00, 110.62 degrees
With the nearest neighbours (Å) after each atom.
Fractional coordinates of all 16 atoms:
Tb: 0.0681 0.1363 0.6128  6 Bi 3.23-3.40, 3 Li 3.35-3.54
Tb: 0.9319 0.8637 0.1128  6 Bi 3.23-3.40, 3 Li 3.35-3.54
Tb: 0.0681 0.1363 0.8872  6 Bi 3.23-3.40, 3 Li 3.35-3.54
Tb: 0.3617 0.7235 0.7500  5 Bi 3.12-3.43, 4 Li 3.40
Tb: 0.6383 0.2765 0.2500  5 Bi 3.12-3.43, 4 Li 3.40
Tb: 0.9319 0.8637 0.3872  6 Bi 3.23-3.40, 3 Li 3.35-3.54
Li: 0.2259 0.4519 0.4005  4 Bi 2.68-2.86
Li: 0.7741 0.5481 0.5995  4 Bi 2.68-2.86
Li: 0.7741 0.5481 0.9005  4 Bi 2.68-2.86
Li: 0.2259 0.4519 0.0995  4 Bi 2.68-2.86
Bi: 0.6265 0.2529 0.0466  3 Li 2.68-2.86
Bi: 0.6265 0.2529 0.4534  3 Li 2.68-2.86
Bi: 0.3735 0.7471 0.9534  3 Li 2.68-2.86
Bi: 0.3537 0.7074 0.2500  2 Li 2.77
Bi: 0.6463 0.2926 0.7500  2 Li 2.77
Bi: 0.3735 0.7471 0.5466  3 Li 2.68-2.86

## Properties
magnetic moment = 0.00 Bohr magnetons per cell
calculated formation energy = -15.250 kcal/mol of atoms
space-group type = No. 63
DFT total energy = -69.30 eV per cell

(5)
# La2CdSb3Rh4

A geometry-optimized La2CdSb3Rh4 structure (PBE, Alexandria).

Cell lengths 4.4626, 4.4626, 10.9899 Å; angles 90.00, 90.00, 90.00 degrees
With the nearest neighbours (Å) after each atom.
Fractional coordinates of all 10 atoms:
La: 0.5000 0.0000 0.2516  8 Rh 3.38-3.55, 6 Sb 3.43-3.53, 2 Cd 3.53
La: 0.0000 0.5000 0.7484  8 Rh 3.38-3.55, 6 Sb 3.43-3.53, 2 Cd 3.53
Rh: 0.0000 0.0000 0.0000  4 Sb 2.65
Rh: 0.0000 0.5000 0.3624  3 Sb 2.55-2.70, 2 Cd 2.70
Rh: 0.5000 0.5000 0.0000  4 Sb 2.65
Rh: 0.5000 0.0000 0.6376  3 Sb 2.55-2.70, 2 Cd 2.70
Cd: 0.5000 0.5000 0.5000  4 Rh 2.70
Sb: 0.0000 0.5000 0.1302  5 Rh 2.55-2.65
Sb: 0.0000 0.0000 0.5000  4 Rh 2.70
Sb: 0.5000 0.0000 0.8698  5 Rh 2.55-2.65

## Properties
magnetic moment = 0.00 Bohr magnetons per cell
formation energy (no corrections) = -0.784 eV/atom
space-group type = No. 115
DFT total energy = -60.38 eV per cell

(6)
# NdIrOs

A geometry-optimized NdIrOs structure (PBE, Alexandria).

Cell lengths 5.2174, 5.4762, 5.4762 Å; angles 60.97, 61.55, 61.55 degrees
With the nearest neighbours (Å) after each atom.
Fractional coordinates of all 6 atoms:
Nd: 0.1240 0.6260 0.6260  6 Ir 3.11-3.27, 6 Os 3.22-3.23, 4 Nd 3.28-3.39
Nd: 0.8760 0.3740 0.3740  6 Ir 3.11-3.27, 6 Os 3.22-3.23, 4 Nd 3.28-3.39
Os: 0.0000 0.0000 0.0000  2 Os 2.61, 4 Ir 2.74
Os: 0.5000 0.0000 0.0000  2 Os 2.61, 4 Ir 2.74
Ir: 0.5000 0.0000 0.5000  4 Os 2.74, 2 Ir 2.78
Ir: 0.5000 0.5000 0.0000  4 Os 2.74, 2 Ir 2.78

## Properties
magnetic moment = 0.00 Bohr magnetons per cell
excess energy over the best structure of this formula in the dataset = 0.00 eV/f.u.
calculated formation energy = -9.092 kcal/mol of atoms
space-group type = No. 74
DFT total energy = -52.08 eV per cell

(7)
# Er7Zn2Co2

A geometry-optimized Er7Zn2Co2 structure (PBE, Alexandria).

Cell lengths 6.5300, 6.8359, 6.5300 Å; angles 90.00, 110.27, 90.00 degrees
With the nearest neighbours (Å) after each atom.
Fractional coordinates of all 11 atoms:
Er: 0.4996 0.2524 0.0002  2 Co 2.59
Er: 0.4997 0.2442 0.5003  2 Co 2.76, 2 Zn 3.03
Er: 0.5004 0.7476 0.9998  2 Co 2.59
Er: 0.0000 0.0000 0.0000  2 Co 3.16
Er: 0.0002 0.7476 0.4996  2 Co 2.59
Er: 0.5003 0.7558 0.4997  2 Co 2.76, 2 Zn 3.03
Er: 0.9998 0.2524 0.5004  2 Co 2.59
Co: 0.7052 0.0000 0.2948  6 Er 2.59-2.76
Co: 0.2948 0.0000 0.7052  6 Er 2.59-2.76
Zn: 0.8307 0.5000 0.8307  1 Zn 2.53
Zn: 0.1693 0.5000 0.1693  1 Zn 2.53

## Properties
magnetic moment = 0.00 Bohr magnetons per cell
calculated formation energy = -2.717 kcal/mol of atoms
space-group type = No. 65
DFT total energy = -50.00 eV per cell

(8)
# BaVSi2Se8

A geometry-optimized BaVSi2Se8 structure (PBE, Alexandria).

Cell lengths 6.2826, 6.2826, 8.9695 Å; angles 90.00, 90.00, 120.00 degrees
With the nearest neighbours (Å) after each atom.
Fractional coordinates of all 12 atoms:
Se: 0.9768 0.3098 0.6608  1 Si 2.32, 1 V 2.48
Se: 0.3098 0.3330 0.3392  1 Si 2.32, 1 V 2.48
Se: 0.6667 0.3333 0.0194  1 Si 2.26
Se: 0.3330 0.0232 0.6608  1 Si 2.32, 1 V 2.48
Se: 0.3333 0.6667 0.9806  1 Si 2.26
Se: 0.6902 0.6670 0.6608  1 Si 2.32, 1 V 2.48
Se: 0.0232 0.6902 0.3392  1 Si 2.32, 1 V 2.48
Se: 0.6670 0.9768 0.3392  1 Si 2.32, 1 V 2.48
Si: 0.3333 0.6667 0.7283  4 Se 2.26-2.32
Si: 0.6667 0.3333 0.2717  4 Se 2.26-2.32
Ba: 0.0000 0.0000 0.0000  12 Se 3.63-3.65
V: 0.0000 0.0000 0.5000  6 Se 2.48

## Properties
magnetic moment = 0.01 Bohr magnetons per cell
formation energy (no corrections) = -0.599 eV/atom
space-group type = No. 147
DFT total energy = -56.95 eV per cell

The highest magnetic moment belongs to which entry? BaVSi2Se8

What did the fourth record say?
# Li2Tb3Bi3

A geometry-optimized Li2Tb3Bi3 structure (PBE, Alexandria).

Cell lengths 4.5166, 6.4120, 15.3446 Å; angles 90.00, 90.00, 110.62 degrees
With the nearest neighbours (Å) after each atom.
Fractional coordinates of all 16 atoms:
Tb: 0.0681 0.1363 0.6128  6 Bi 3.23-3.40, 3 Li 3.35-3.54
Tb: 0.9319 0.8637 0.1128  6 Bi 3.23-3.40, 3 Li 3.35-3.54
Tb: 0.0681 0.1363 0.8872  6 Bi 3.23-3.40, 3 Li 3.35-3.54
Tb: 0.3617 0.7235 0.7500  5 Bi 3.12-3.43, 4 Li 3.40
Tb: 0.6383 0.2765 0.2500  5 Bi 3.12-3.43, 4 Li 3.40
Tb: 0.9319 0.8637 0.3872  6 Bi 3.23-3.40, 3 Li 3.35-3.54
Li: 0.2259 0.4519 0.4005  4 Bi 2.68-2.86
Li: 0.7741 0.5481 0.5995  4 Bi 2.68-2.86
Li: 0.7741 0.5481 0.9005  4 Bi 2.68-2.86
Li: 0.2259 0.4519 0.0995  4 Bi 2.68-2.86
Bi: 0.6265 0.2529 0.0466  3 Li 2.68-2.86
Bi: 0.6265 0.2529 0.4534  3 Li 2.68-2.86
Bi: 0.3735 0.7471 0.9534  3 Li 2.68-2.86
Bi: 0.3537 0.7074 0.2500  2 Li 2.77
Bi: 0.6463 0.2926 0.7500  2 Li 2.77
Bi: 0.3735 0.7471 0.5466  3 Li 2.68-2.86

## Properties
magnetic moment = 0.00 Bohr magnetons per cell
calculated formation energy = -15.250 kcal/mol of atoms
space-group type = No. 63
DFT total energy = -69.30 eV per cell

Which formula does entry 4 have? Li2Tb3Bi3